(1)
# KCu2TcF8 | Alexandria | GGA-PBE | optimized geometry
data_KCu2TcF8
_chemical_formula_sum 'K1 Cu2 Tc1 F8'
_cell_length_a 5.4238
_cell_length_b 5.4238
_cell_length_c 9.0628
_cell_angle_alpha 72.59
_cell_angle_beta 72.59
_cell_angle_gamma 60.00
_space_group_name_H-M_alt 'P 1'
_space_group_IT_number 1
loop_
_space_group_symop_operation_xyz
'x,y,z'
loop_
_atom_site_label
_atom_site_type_symbol
_atom_site_fract_x
_atom_site_fract_y
_atom_site_fract_z
K1 K 0.0000 0.0000 0.0000
Cu1 Cu 0.7383 0.7383 0.7851
Cu2 Cu 0.2617 0.2617 0.2149
Tc1 Tc 0.5000 0.5000 0.5000
F1 F 0.6664 0.6664 0.0007
F2 F 0.3336 0.3336 0.9993
F3 F 0.4119 0.3535 0.3595
F4 F 0.6465 0.5881 0.6405
F5 F 0.1249 0.6465 0.6405
F6 F 0.3535 0.8751 0.3595
F7 F 0.8751 0.4119 0.3595
F8 F 0.5881 0.1249 0.6405
# final energy: -4.694 eV per atom
# spin magnetization: 1.99 μB/cell
# density: 3.19 g cm⁻³
# formation energy from raw total energies: -1.809 eV/atom

(2)
# PrZn3AgAu | Alexandria | GGA-PBE | optimized geometry
data_PrZn3AgAu
_chemical_formula_sum 'Pr2 Zn6 Ag2 Au2'
_cell_length_a 5.9276
_cell_length_b 6.2496
_cell_length_c 7.2793
_cell_angle_alpha 115.42
_cell_angle_beta 90.00
_cell_angle_gamma 90.00
_space_group_name_H-M_alt 'P 1'
_space_group_IT_number 1
loop_
_space_group_symop_operation_xyz
'x,y,z'
loop_
_atom_site_label
_atom_site_type_symbol
_atom_site_fract_x
_atom_site_fract_y
_atom_site_fract_z
Pr1 Pr 0.7500 0.2943 0.5886
Pr2 Pr 0.2500 0.7057 0.4114
Zn1 Zn 0.2500 0.1349 0.2697
Zn2 Zn 0.0000 0.3031 0.0000
Zn3 Zn 0.5000 0.6969 0.0000
Zn4 Zn 0.5000 0.3031 0.0000
Zn5 Zn 0.0000 0.6969 0.0000
Zn6 Zn 0.7500 0.8651 0.7303
Ag1 Ag 0.2500 0.9261 0.8523
Ag2 Ag 0.7500 0.0739 0.1477
Au1 Au 0.2500 0.3418 0.6836
Au2 Au 0.7500 0.6582 0.3164
# final energy: -2.641 eV per atom
# spin magnetization: 0.00 μB/cell
# density: 8.75 g cm⁻³
# formation energy from the elements: -18 kJ/mol of atoms

(3)
# LiBeW2 | Alexandria | GGA-PBE | optimized geometry
data_LiBeW2
_chemical_formula_sum 'Li1 Be1 W2'
_cell_length_a 2.5955
_cell_length_b 4.0684
_cell_length_c 5.4122
_cell_angle_alpha 90.00
_cell_angle_beta 90.00
_cell_angle_gamma 90.00
_space_group_name_H-M_alt 'P 1'
_space_group_IT_number 1
loop_
_space_group_symop_operation_xyz
'x,y,z'
loop_
_atom_site_label
_atom_site_type_symbol
_atom_site_fract_x
_atom_site_fract_y
_atom_site_fract_z
Be1 Be 0.0000 0.0000 0.4973
Li1 Li 0.5000 0.5000 0.7362
W1 W 0.0000 0.0000 0.0074
W2 W 0.5000 0.5000 0.2591
# final energy: -7.410 eV per atom
# spin magnetization: 0.00 μB/cell
# density: 11.15 g cm⁻³
# formation energy from the elements: 46 kJ/mol of atoms

(4)
# RbNpAsO6 | Alexandria | GGA-PBE | optimized geometry
data_RbNpAsO6
_chemical_formula_sum 'Rb1 Np1 As1 O6'
_cell_length_a 5.3162
_cell_length_b 5.3163
_cell_length_c 6.4145
_cell_angle_alpha 90.00
_cell_angle_beta 90.00
_cell_angle_gamma 60.00
_space_group_name_H-M_alt 'P 1'
_space_group_IT_number 1
loop_
_space_group_symop_operation_xyz
'x,y,z'
loop_
_atom_site_label
_atom_site_type_symbol
_atom_site_fract_x
_atom_site_fract_y
_atom_site_fract_z
Rb1 Rb 0.0000 0.0000 0.0000
Np1 Np 0.6666 0.6667 0.5000
As1 As 0.3333 0.3333 0.5000
O1 O 0.0308 0.3587 0.3328
O2 O 0.3587 0.0309 0.6671
O3 O 0.6104 0.3587 0.6671
O4 O 0.0308 0.6104 0.6671
O5 O 0.3587 0.6104 0.3328
O6 O 0.6104 0.0309 0.3328
# final energy: -7.295 eV per atom
# spin magnetization: 1.00 μB/cell
# density: 5.22 g cm⁻³
# formation energy from raw total energies: -1.928 eV/atom

Question: Which value of final energy does entry 4 give?
Answer: -7.295 eV per atom

Question: What is the formula in the first record?
Answer: KCu2TcF8

Question: density of number 4 (RbNpAsO6)?
Answer: 5.22 g cm⁻³